1.
Material: ReHgPdRu2
Method: DFT, PBEsol
State: optimized geometry

## Properties
M_tot (μB per cell): 4.32
Volume (Å³/atom): 21.34
ΔE_f (eV per atom): 2.895
Energy (eV/cell): -25.7
Space group: P4/mmm (123)

Cell: 4.6993 4.7650 4.7650 Å, 90.00 90.00 90.00°
With the nearest neighbours (Å) after each atom.
Element x y z (fractional)
Re: 0.5000 0.5000 0.5000  8 Ru 3.35, 4 Pd 3.37
Hg: 0.0000 0.0000 0.0000  2 Pd 2.35, 4 Ru 2.38
Pd: 0.5000 0.0000 0.0000  2 Hg 2.35
Ru: 0.0000 0.5000 0.0000  2 Hg 2.38
Ru: 0.0000 0.0000 0.5000  2 Hg 2.38

=====

2.
Material: Ca2LaMo
Method: DFT, PBEsol
State: optimized geometry

## Properties
M_tot (μB per cell): 1.17
Volume (Å³/atom): 26.83
ΔE_f (eV per atom): 0.674
Polymorph energy (0 for the lowest one) (meV per atom): 195
Energy (eV/cell): -18.7
Space group: F-43m (216)

Cell: 5.3343 5.3343 5.3343 Å, 60.00 60.00 60.00°
With the nearest neighbours (Å) after each atom.
Element x y z (fractional)
Ca: 0.0000 0.0000 0.0000  4 Mo 3.27, 4 Ca 3.27
Ca: 0.7500 0.7500 0.7500  4 La 3.27, 4 Ca 3.27
La: 0.5000 0.5000 0.5000  4 Mo 3.27, 4 Ca 3.27
Mo: 0.2500 0.2500 0.2500  4 Ca 3.27, 4 La 3.27

=====

3.
Material: CoPBr2
Method: DFT, PBEsol
State: optimized geometry

## Properties
M_tot (μB per cell): 2.61
Volume (Å³/atom): 20.03
Polymorph energy (0 for the lowest one) (meV per atom): 791
Energy (eV/cell): -14.3
Space group: Pmmm (47)

Cell: 3.2257 4.0180 6.1817 Å, 90.00 90.00 90.00°
With the nearest neighbours (Å) after each atom.
Element x y z (fractional)
P: 0.0000 0.5000 0.5000  4 Br 2.58
Co: 0.5000 0.5000 0.0000  4 Br 2.58
Br: 0.0000 0.0000 0.0000  4 Co 2.58
Br: 0.5000 0.0000 0.5000  4 P 2.58

=====

4.
Material: Cs2RbPbF6
Method: DFT, PBEsol
State: optimized geometry

## Properties
M_tot (μB per cell): 0.88
Volume (Å³/atom): 22.80
Energy (eV/cell): -43.4
Space group: Fm-3m (225)

Cell: 6.8575 6.8575 6.8575 Å, 60.00 60.00 60.00°
With the nearest neighbours (Å) after each atom.
Element x y z (fractional)
Cs: 0.2500 0.2500 0.2500  12 F 3.43
Cs: 0.7500 0.7500 0.7500  12 F 3.43
F: 0.2302 0.7698 0.2302  1 Pb 2.23
F: 0.7698 0.2302 0.7698  1 Pb 2.23
F: 0.2302 0.7698 0.7698  1 Pb 2.23
F: 0.7698 0.7698 0.2302  1 Pb 2.23
F: 0.2302 0.2302 0.7698  1 Pb 2.23
F: 0.7698 0.2302 0.2302  1 Pb 2.23
Rb: 0.5000 0.5000 0.5000  6 F 2.62
Pb: 0.0000 0.0000 0.0000  6 F 2.23

=====

5.
Material: KScC2
Method: DFT, PBEsol
State: optimized geometry

## Properties
M_tot (μB per cell): 0.00
Volume (Å³/atom): 13.91
ΔE_f (eV per atom): 1.693
Energy (eV/cell): -20.3
Space group: Fm-3m (225)

Cell: 4.2856 4.2856 4.2856 Å, 60.00 60.00 60.00°
With the nearest neighbours (Å) after each atom.
Element x y z (fractional)
Sc: 0.5000 0.5000 0.5000  8 C 2.62
C: 0.2500 0.2500 0.2500  4 K 2.62, 4 Sc 2.62
C: 0.7500 0.7500 0.7500  4 K 2.62, 4 Sc 2.62
K: 0.0000 0.0000 0.0000  8 C 2.62

=====

6.
Material: LaYOs2
Method: DFT, PBEsol
State: optimized geometry

## Properties
M_tot (μB per cell): 0.00
Volume (Å³/atom): 24.27
ΔE_f (eV per atom): -0.017
Polymorph energy (0 for the lowest one) (meV per atom): 0
Energy (eV/cell): -36.7
Space group: Amm2 (38)

Cell: 4.3325 4.4329 5.5192 Å, 113.68 90.00 90.00°
With the nearest neighbours (Å) after each atom.
Element x y z (fractional)
Os: 0.5000 0.0705 0.1410  2 Os 2.39
Os: 0.0000 0.1704 0.3408  2 Os 2.39
Y: 0.0000 0.4820 0.9641  7 Os 2.92-3.23
La: 0.5000 0.7753 0.5506  7 Os 2.98-3.28

=====

7.
Material: TaCr3N
Method: DFT, PBEsol
State: optimized geometry

## Properties
M_tot (μB per cell): 8.45
Volume (Å³/atom): 20.25
Energy (eV/cell): -37.7
Space group: Pm-3m (221)

Cell: 4.6607 4.6607 4.6607 Å, 90.00 90.00 90.00°
With the nearest neighbours (Å) after each atom.
Element x y z (fractional)
N: 0.5000 0.5000 0.5000  12 Cr 3.30
Ta: 0.0000 0.0000 0.0000  6 Cr 2.33
Cr: 0.0000 0.0000 0.5000  2 Ta 2.33
Cr: 0.5000 0.0000 0.0000  2 Ta 2.33
Cr: 0.0000 0.5000 0.0000  2 Ta 2.33

=====

8.
Material: RhW2Se
Method: DFT, PBEsol
State: optimized geometry

## Properties
M_tot (μB per cell): 0.00
Volume (Å³/atom): 15.38
Energy (eV/cell): -38.6
Space group: Pm (6)

Cell: 2.8109 4.0733 5.4854 Å, 90.00 101.57 90.00°
With the nearest neighbours (Å) after each atom.
Element x y z (fractional)
W: 0.8662 0.5000 0.2583  1 Se 2.44, 2 W 2.69
W: 0.1690 0.0000 0.0071  2 Se 2.59, 4 W 2.69-2.81, 1 Rh 2.79
Rh: 0.4658 0.0000 0.5231  4 Se 2.62-2.74, 5 W 2.79-2.86, 2 Rh 2.81
Se: 0.9989 0.5000 0.7116  3 W 2.44-2.59, 2 Rh 2.62

=====

The lowest energy belongs to which entry? Cs2RbPbF6

=====

Please write out number 1 again, unchanged.
Material: ReHgPdRu2
Method: DFT, PBEsol
State: optimized geometry

## Properties
M_tot (μB per cell): 4.32
Volume (Å³/atom): 21.34
ΔE_f (eV per atom): 2.895
Energy (eV/cell): -25.7
Space group: P4/mmm (123)

Cell: 4.6993 4.7650 4.7650 Å, 90.00 90.00 90.00°
With the nearest neighbours (Å) after each atom.
Element x y z (fractional)
Re: 0.5000 0.5000 0.5000  8 Ru 3.35, 4 Pd 3.37
Hg: 0.0000 0.0000 0.0000  2 Pd 2.35, 4 Ru 2.38
Pd: 0.5000 0.0000 0.0000  2 Hg 2.35
Ru: 0.0000 0.5000 0.0000  2 Hg 2.38
Ru: 0.0000 0.0000 0.5000  2 Hg 2.38

=====

What did the sixth record say?
Material: LaYOs2
Method: DFT, PBEsol
State: optimized geometry

## Properties
M_tot (μB per cell): 0.00
Volume (Å³/atom): 24.27
ΔE_f (eV per atom): -0.017
Polymorph energy (0 for the lowest one) (meV per atom): 0
Energy (eV/cell): -36.7
Space group: Amm2 (38)

Cell: 4.3325 4.4329 5.5192 Å, 113.68 90.00 90.00°
With the nearest neighbours (Å) after each atom.
Element x y z (fractional)
Os: 0.5000 0.0705 0.1410  2 Os 2.39
Os: 0.0000 0.1704 0.3408  2 Os 2.39
Y: 0.0000 0.4820 0.9641  7 Os 2.92-3.23
La: 0.5000 0.7753 0.5506  7 Os 2.98-3.28